[1]
First-principles (GGA-PBE) data for crystalline Sr6Si2Bi at its relaxed geometry, as listed in the Alexandria database.

The crystal system is orthorhombic. The magnetization is 0.0000 μB/atom. For the uncorrected formation energy, the calculation gives -0.467 eV per atom.

The structure belongs to space group Immm (No. 71); the cell edges are 10.3998, 10.9876 and 11.4466 Å and the angles 90.00°, 90.00° and 90.00°. The inequivalent atoms are Sr at (0.0000, 0.2155, 0.2275), Sr at (0.1998, 0.5000, 0.1809), Sr at (0.2190, 0.3119, 0.5000), Si at (0.0000, 0.3851, 0.0000), Si at (0.0000, 0.5000, 0.3938), Bi at (0.0000, 0.0000, 0.0000) and Bi at (0.0000, 0.0000, 0.5000).

[2]
First-principles (GGA-PBE) data for crystalline SrSiBi3 at its relaxed geometry, as listed in the Alexandria database.

The polymorph energy (0 for the lowest one) is 1061 meV per atom. The crystal system is cubic. The magnetization is 0.0000 μB/atom. For the uncorrected formation energy, the calculation gives 1.162 eV per atom.

The structure belongs to space group Pm-3m (No. 221); the cell edges are 6.0364, 6.0364 and 6.0364 Å and the angles 90.00°, 90.00° and 90.00°. The inequivalent atoms are Sr at (0.0000, 0.0000, 0.0000), Si at (0.5000, 0.5000, 0.5000) and Bi at (0.0000, 0.0000, 0.5000).

[3]
First-principles (GGA-PBE) data for crystalline Sr5Si2Bi at its relaxed geometry, as listed in the Alexandria database.

The crystal system is tetragonal. The magnetization is 0.0997 μB/atom. For the uncorrected formation energy, the calculation gives -0.584 eV per atom.

The structure belongs to space group I4/mcm (No. 140); the cell edges are 8.3217, 8.3217 and 15.8467 Å and the angles 90.00°, 90.00° and 90.00°. The inequivalent atoms are Sr at (0.0000, 0.0000, 0.0000), Sr at (0.1714, 0.3286, 0.1378), Si at (0.1097, 0.3903, 0.5000) and Bi at (0.0000, 0.0000, 0.2500).

[4]
First-principles (GGA-PBE) data for crystalline Sr2Si2Bi at its relaxed geometry, as listed in the Alexandria database.

The polymorph energy (0 for the lowest one) is 463 meV per atom. The crystal system is tetragonal. The magnetization is 0.0000 μB/atom. For the uncorrected formation energy, the calculation gives 0.018 eV per atom.

The structure belongs to space group I4/mmm (No. 139); the cell edges are 5.4971, 5.4971 and 10.8214 Å and the angles 90.00°, 90.00° and 90.00°. The inequivalent atoms are Sr at (0.0000, 0.5000, 0.2500), Si at (0.0000, 0.0000, 0.1009) and Bi at (0.0000, 0.0000, 0.5000).

[5]
First-principles (GGA-PBE) data for crystalline SrTiSiBi2 at its relaxed geometry, as listed in the Alexandria database.

The crystal system is tetragonal. The magnetization is 0.2845 μB/atom. For the uncorrected formation energy, the calculation gives 0.554 eV per atom.

The structure belongs to space group P4/mmm (No. 123); the cell edges are 5.3314, 5.3314 and 5.9978 Å and the angles 90.00°, 90.00° and 90.00°. The inequivalent atoms are Sr at (0.0000, 0.0000, 0.0000), Ti at (0.0000, 0.0000, 0.5000), Si at (0.5000, 0.5000, 0.0000) and Bi at (0.0000, 0.5000, 0.5000).

[6]
First-principles (GGA-PBE) data for crystalline Ta2Si2Bi at its relaxed geometry, as listed in the Alexandria database.

The polymorph energy (0 for the lowest one) is 96 meV per atom. The crystal system is tetragonal. The magnetization is 0.0000 μB/atom. For the uncorrected formation energy, the calculation gives 0.069 eV per atom.

The structure belongs to space group P4/mbm (No. 127); the cell edges are 7.9228, 7.9228 and 2.9676 Å and the angles 90.00°, 90.00° and 90.00°. The inequivalent atoms are Ta at (0.1493, 0.3507, 0.0000), Si at (0.1374, 0.6374, 0.5000) and Bi at (0.0000, 0.0000, 0.0000).

[7]
First-principles (GGA-PBE) data for crystalline Ta2Si2Bi at its relaxed geometry, as listed in the Alexandria database.

The polymorph energy (0 for the lowest one) is 0 meV per atom. The crystal system is tetragonal. The magnetization is 0.0000 μB/atom. For the uncorrected formation energy, the calculation gives -0.027 eV per atom.

The structure belongs to space group I4/mmm (No. 139); the cell edges are 3.5990, 3.5990 and 14.1618 Å and the angles 90.00°, 90.00° and 90.00°. The inequivalent atoms are Ta at (0.0000, 0.0000, 0.1127), Si at (0.0000, 0.5000, 0.2500) and Bi at (0.0000, 0.0000, 0.5000).

[8]
First-principles (GGA-PBE) data for crystalline Ta2SiBi at its relaxed geometry, as listed in the Alexandria database.

The polymorph energy (0 for the lowest one) is 0 meV per atom. The crystal system is cubic. The magnetization is 0.0000 μB/atom. For the uncorrected formation energy, the calculation gives 0.403 eV per atom.

The structure belongs to space group Fm-3m (No. 225); the cell edges are 6.6907, 6.6907 and 6.6907 Å and the angles 90.00°, 90.00° and 90.00°. The inequivalent atoms are Ta at (0.2500, 0.2500, 0.2500), Si at (0.0000, 0.0000, 0.0000) and Bi at (0.0000, 0.0000, 0.5000).